Record 1
DFT (PBE-GGA) results for a relaxed Ba5Be crystal.

Structure (POSCAR):
```
Ba5Be
1.0
4.186 0.000 0.000
0.000 4.186 0.000
0.000 0.000 17.677
Ba Be
5 1
Direct
0.000 0.000 0.896
0.000 0.000 0.104
0.500 0.500 0.695
0.500 0.500 0.305
0.000 0.000 0.500
0.500 0.500 0.000
```

DOS(E_F) = 1.477 states/eV per atom
Crystal system = tetragonal
DFT total energy = -2.006 eV per atom
E_form = 0.217 eV per atom
M_tot = 0.4 Bohr magnetons per cell

Record 2
DFT (PBE-GGA) results for a relaxed BaBe5 crystal.

Structure (POSCAR):
```
BaBe5
1.0
2.548 -4.414 0.000
2.548 4.414 0.000
0.000 0.000 3.800
Ba Be
1 5
Direct
0.000 0.000 0.000
0.333 0.667 0.000
0.667 0.333 0.000
0.500 0.000 0.500
0.000 0.500 0.500
0.500 0.500 0.500
```

DOS(E_F) = 0.625 states/eV per atom
Crystal system = hexagonal
DFT total energy = -2.950 eV per atom
E_form = 0.476 eV per atom
M_tot = 0.0 Bohr magnetons per cell

Record 3
DFT (PBE-GGA) results for a relaxed BaBe crystal.

Structure (POSCAR):
```
BaBe
1.0
11.362 0.000 0.000
-5.681 9.839 0.000
0.000 0.000 4.186
Ba Be
6 6
Direct
0.796 0.592 0.250
0.204 0.796 0.750
0.408 0.204 0.250
0.204 0.408 0.750
0.796 0.204 0.250
0.592 0.796 0.750
0.486 0.973 0.250
0.514 0.486 0.750
0.027 0.514 0.250
0.514 0.027 0.750
0.486 0.514 0.250
0.973 0.486 0.750
```

DOS(E_F) = 1.001 states/eV per atom
Crystal system = hexagonal
DFT total energy = -2.380 eV per atom
E_form = 0.444 eV per atom
M_tot = 0.0 Bohr magnetons per cell

Record 4
DFT (PBE-GGA) results for a relaxed Ba7Be6 crystal.

Structure (POSCAR):
```
Ba7Be6
1.0
-2.075 8.784 -2.175
-8.491 3.431 -1.526
-4.525 6.075 5.369
Be Ba
6 7
Direct
0.954 0.954 0.954
0.046 0.046 0.046
0.864 0.864 0.864
0.136 0.136 0.136
0.644 0.644 0.644
0.356 0.356 0.356
0.961 0.398 0.398
0.398 0.398 0.961
0.398 0.961 0.398
0.039 0.602 0.602
0.602 0.039 0.602
0.602 0.602 0.039
0.500 0.500 0.500
```

DOS(E_F) = 0.995 states/eV per atom
Crystal system = trigonal
DFT total energy = -1.837 eV per atom
E_form = 0.918 eV per atom
M_tot = 0.0 Bohr magnetons per cell

Record 5
DFT (PBE-GGA) results for a relaxed BaBe3 crystal.

Structure (POSCAR):
```
BaBe3
1.0
-6.172 -1.840 -1.112
1.232 -5.797 2.756
-1.762 2.393 5.821
Be Ba
3 1
Direct
0.500 0.000 0.000
0.000 0.500 0.000
0.000 0.000 0.500
0.000 0.000 0.000
```

DOS(E_F) = 1.687 states/eV per atom
Crystal system = cubic
DFT total energy = -0.815 eV per atom
E_form = 2.460 eV per atom
M_tot = 0.0 Bohr magnetons per cell

Record 6
DFT (PBE-GGA) results for a relaxed BaBe crystal.

Structure (POSCAR):
```
BaBe
1.0
9.127 0.000 0.000
0.000 9.127 0.000
0.000 0.000 9.127
Ba Be
8 8
Direct
0.288 0.288 0.288
0.288 0.712 0.712
0.712 0.288 0.712
0.712 0.712 0.288
0.788 0.788 0.788
0.788 0.212 0.212
0.212 0.788 0.212
0.212 0.212 0.788
0.084 0.084 0.084
0.084 0.916 0.916
0.916 0.084 0.916
0.916 0.916 0.084
0.584 0.584 0.584
0.584 0.416 0.416
0.416 0.584 0.416
0.416 0.416 0.584
```

DOS(E_F) = 1.714 states/eV per atom
Crystal system = cubic
DFT total energy = -2.133 eV per atom
E_form = 0.691 eV per atom
M_tot = 0.8 Bohr magnetons per cell

Record 7
DFT (PBE-GGA) results for a relaxed BaBe2 crystal.

Structure (POSCAR):
```
BaBe2
1.0
0.000 3.975 3.975
3.975 0.000 3.975
3.975 3.975 0.000
Ba Be
2 4
Direct
0.500 0.500 0.500
0.750 0.750 0.750
0.625 0.125 0.125
0.125 0.625 0.125
0.125 0.125 0.625
0.125 0.125 0.125
```

DOS(E_F) = 1.359 states/eV per atom
Crystal system = cubic
DFT total energy = -2.372 eV per atom
E_form = 0.753 eV per atom
M_tot = 0.0 Bohr magnetons per cell

Record 8
DFT (PBE-GGA) results for a relaxed BaBe4 crystal.

Structure (POSCAR):
```
BaBe4
1.0
-3.847 -3.979 -1.880
-2.567 3.491 3.922
1.867 3.195 -4.525
Ba Be
1 4
Direct
0.000 0.000 0.000
0.000 0.500 0.000
0.000 0.000 0.500
0.500 0.500 0.500
0.500 0.000 0.000
```

DOS(E_F) = 0.832 states/eV per atom
Crystal system = cubic
DFT total energy = -1.132 eV per atom
E_form = 2.233 eV per atom
M_tot = 0.0 Bohr magnetons per cell

Record 9
DFT (PBE-GGA) results for a relaxed BaBe crystal.

Structure (POSCAR):
```
BaBe
1.0
1.966 -5.595 0.000
1.966 5.595 0.000
0.000 0.000 8.395
Ba Be
3 3
Direct
0.382 0.618 0.000
0.633 0.367 0.289
0.633 0.367 0.711
0.906 0.094 0.619
0.906 0.094 0.381
0.375 0.625 0.500
```

DOS(E_F) = 0.886 states/eV per atom
Crystal system = orthorhombic
DFT total energy = -2.447 eV per atom
E_form = 0.378 eV per atom
M_tot = 0.0 Bohr magnetons per cell

Record 10
DFT (PBE-GGA) results for a relaxed Ba3Be crystal.

Structure (POSCAR):
```
Ba3Be
1.0
8.045 0.000 0.000
-4.022 6.967 0.000
0.000 0.000 12.044
Be Ba
4 12
Direct
0.000 0.000 0.000
0.000 0.000 0.500
0.333 0.667 0.250
0.667 0.333 0.750
0.500 0.000 0.000
0.500 0.000 0.500
0.000 0.500 0.000
0.500 0.500 0.000
0.500 0.500 0.500
0.000 0.500 0.500
0.848 0.695 0.250
0.152 0.305 0.750
0.305 0.152 0.250
0.848 0.152 0.250
0.152 0.848 0.750
0.695 0.848 0.750
```

DOS(E_F) = 1.783 states/eV per atom
Crystal system = hexagonal
DFT total energy = -1.866 eV per atom
E_form = 0.507 eV per atom
M_tot = 0.0 Bohr magnetons per cell

Record 11
DFT (PBE-GGA) results for a relaxed BaBe4 crystal.

Structure (POSCAR):
```
BaBe4
1.0
-1.991 1.991 5.642
1.991 -1.991 5.642
1.991 1.991 -5.642
Ba Be
1 4
Direct
0.000 0.000 0.000
0.750 0.250 0.500
0.250 0.750 0.500
0.697 0.697 0.000
0.303 0.303 0.000
```

DOS(E_F) = 0.490 states/eV per atom
Crystal system = tetragonal
DFT total energy = -2.959 eV per atom
E_form = 0.407 eV per atom
M_tot = 0.0 Bohr magnetons per cell

Record 12
DFT (PBE-GGA) results for a relaxed Ba3Be crystal.

Structure (POSCAR):
```
Ba3Be
1.0
-1.874 -2.960 11.572
2.596 -2.232 11.596
-0.268 1.251 12.023
Be Ba
1 3
Direct
0.000 0.000 0.000
0.723 0.723 0.723
0.500 0.500 0.500
0.277 0.277 0.277
```

DOS(E_F) = 1.370 states/eV per atom
Crystal system = trigonal
DFT total energy = -1.969 eV per atom
E_form = 0.404 eV per atom
M_tot = 0.9 Bohr magnetons per cell